Entry 1:
Material: BaSnHgTe3
Method: DFT, GGA-PBE
State: optimized geometry

Values from the calculation:
magnetization: 0.0 μB/f.u.
E_form (uncorrected): -0.690 eV/atom

POSCAR file:
```
BaSnHgTe3
1.0
-4.1152 2.1613 0.1904
-4.3408 -8.3116 0.5269
1.5929 2.1347 10.1986
Te Hg Sn Ba
6 2 2 2
Direct
0.7500 0.2305 0.5133
0.7500 0.9046 0.1205
0.7500 0.4324 0.1570
0.2500 0.7695 0.4867
0.2500 0.5676 0.8430
0.2500 0.0954 0.8795
0.2500 0.1041 0.6130
0.7500 0.8959 0.3870
0.2500 0.6598 0.1299
0.7500 0.3402 0.8701
0.2500 0.1848 0.2368
0.7500 0.8152 0.7632
```



Entry 2:
Material: CaLuGaIr
Method: DFT, GGA-PBE
State: optimized geometry

Values from the calculation:
magnetization: 0.0 μB/f.u.
DOS at the Fermi energy: 3.04 states/eV/cell
DFT formation energy: -0.51 eV/atom

POSCAR file:
```
CaLuGaIr
1.0
-3.1161 3.6873 -0.7889
-2.7250 1.7285 3.6763
0.9285 4.4276 1.8610
Ga Ca Ir Lu
1 1 1 1
Direct
0.2500 0.2500 0.2500
0.5000 0.5000 0.5000
0.7500 0.7500 0.7500
0.0000 0.0000 0.0000
```



Entry 3:
Material: MgSnAu4
Method: DFT, GGA-PBE
State: optimized geometry

Values from the calculation:
magnetization: 0.0 μB/f.u.
DOS at the Fermi energy: 4.17 states/eV/cell
DFT formation energy: -0.19 eV/atom
polymorph energy (0 for the lowest one): 0 meV/atom

POSCAR file:
```
MgSnAu4
1.0
-1.0732 2.9587 -5.5030
-5.4810 -4.1174 -1.1448
-0.2334 4.8116 4.9096
Mg Au Sn
2 8 2
Direct
0.7421 0.5265 0.0530
0.2579 0.4735 0.9470
0.4859 0.6632 0.7558
0.8303 0.3085 0.6170
0.5141 0.9074 0.2442
0.0000 0.7939 0.0000
0.4859 0.0926 0.7558
0.1697 0.6915 0.3830
0.0000 0.2061 0.0000
0.5141 0.3368 0.2442
0.1917 0.2141 0.4282
0.8083 0.7859 0.5718
```



Entry 4:
Material: PrCdCl5
Method: DFT, GGA-PBE
State: optimized geometry

Values from the calculation:
magnetization: 0.0 μB/f.u.
DOS at the Fermi energy: 0.00 states/eV/cell
E_form (uncorrected): -1.703 eV/atom

POSCAR file:
```
PrCdCl5
1.0
-5.7522 3.4991 -2.5982
-5.1929 -4.9475 -0.7991
-6.3812 1.0745 7.0284
Cl Pr Cd
10 2 2
Direct
0.6686 0.3005 0.9644
0.7903 0.7205 0.1314
0.7205 0.7903 0.6314
0.2795 0.2097 0.3686
0.3314 0.6995 0.0356
0.3005 0.6686 0.4644
0.6995 0.3314 0.5356
0.2097 0.2795 0.8686
0.8853 0.1147 0.2500
0.1147 0.8853 0.7500
0.4446 0.5554 0.7500
0.5554 0.4446 0.2500
0.0000 0.0000 0.0000
0.0000 0.0000 0.5000
```



Entry 5:
Material: Th3TcBiCl
Method: DFT, GGA-PBE
State: optimized geometry

Values from the calculation:
magnetization: 0.0 μB/f.u.
DOS at the Fermi energy: 9.25 states/eV/cell
E_form (uncorrected): -0.574 eV/atom

POSCAR file:
```
Th3TcBiCl
1.0
-2.6442 -2.2717 -2.4804
2.1417 -6.5199 3.6882
-8.0448 2.8379 5.9769
Th Tc Cl Bi
6 2 2 2
Direct
0.2500 0.5204 0.8599
0.7500 0.4796 0.1401
0.7500 0.9606 0.1396
0.7500 0.2949 0.5796
0.2500 0.0394 0.8604
0.2500 0.7051 0.4204
0.2500 0.7408 0.0984
0.7500 0.2592 0.9016
0.2500 0.0587 0.5980
0.7500 0.9413 0.4020
0.2500 0.2891 0.3279
0.7500 0.7109 0.6721
```



Entry 6:
Material: Y2TiCdO6
Method: DFT, GGA-PBE
State: optimized geometry

Values from the calculation:
magnetization: 0.0 μB/f.u.
DOS at the Fermi energy: 0.00 states/eV/cell
E_form (uncorrected): -2.706 eV/atom

POSCAR file:
```
Y2TiCdO6
1.0
5.2568 0.0000 0.0000
0.0000 5.2944 0.0000
0.0000 0.0000 5.2944
Ti O Y Cd
1 6 2 1
Direct
0.5985 0.0000 0.0000
0.7440 0.7642 0.7642
0.7440 0.7642 0.2358
0.7440 0.2358 0.2358
0.2479 0.0000 0.0000
0.7440 0.2358 0.7642
0.1339 0.5000 0.5000
0.9791 0.5000 0.0000
0.9791 0.0000 0.5000
0.5325 0.5000 0.5000
```